# Zr2Ge3Mo4C3 PBE-GGA optimized geometry
data_Zr2Ge3Mo4C3
_cell_length_a 5.5322
_cell_length_b 5.5322
_cell_length_c 13.3501
_cell_angle_alpha 101.80
_cell_angle_beta 101.80
_cell_angle_gamma 60.20
_symmetry_space_group_name_H-M 'P 1'
_symmetry_Int_Tables_number 1
loop_
_symmetry_equiv_pos_as_xyz
'x,y,z'
loop_
_atom_site_label
_atom_site_type_symbol
_atom_site_fract_x
_atom_site_fract_y
_atom_site_fract_z
Zr1 Zr 0.0346 0.8678 0.6056
Zr2 Zr 0.1322 0.9654 0.8944
Zr3 Zr 0.8678 0.0346 0.1056
Zr4 Zr 0.9654 0.1322 0.3944
Ge1 Ge 0.0850 0.2985 0.7483
Ge2 Ge 0.2985 0.0850 0.2483
Ge3 Ge 0.4689 0.5311 0.7500
Ge4 Ge 0.5311 0.4689 0.2500
Ge5 Ge 0.7015 0.9150 0.7517
Ge6 Ge 0.9150 0.7015 0.2517
Mo1 Mo 0.1922 0.3576 0.0827
Mo2 Mo 0.3025 0.4778 0.4175
Mo3 Mo 0.3576 0.1922 0.5827
Mo4 Mo 0.4778 0.3025 0.9175
Mo5 Mo 0.5222 0.6975 0.0825
Mo6 Mo 0.6424 0.8078 0.4173
Mo7 Mo 0.6975 0.5222 0.5825
Mo8 Mo 0.8078 0.6424 0.9173
C1 C 0.0000 0.5000 0.5000
C2 C 0.1675 0.6656 0.0001
C3 C 0.3344 0.8325 0.4999
C4 C 0.5000 0.0000 0.0000
C5 C 0.6656 0.1675 0.5001
C6 C 0.8325 0.3344 0.9999
# Total energy in eV per atom: -8.864